Entry 1:
A plane-wave DFT calculation with PBE was carried out for an optimized crystal structure of BaMg2TaO.

As for the symmetry: P4/mmm. The calculation puts the raw formation energy at 1.185 eV per atom.

CIF file:
```
data_BaMg2TaO
_space_group_name_H-M_alt 'P 1'
_space_group_IT_number 1
_cell_length_a 5.364
_cell_length_b 6.417
_cell_length_c 5.364
_cell_angle_alpha 90.00
_cell_angle_beta 90.00
_cell_angle_gamma 90.00
loop_
_space_group_symop_operation_xyz
'x,y,z'
loop_
_atom_site_label
_atom_site_type_symbol
_atom_site_fract_x
_atom_site_fract_y
_atom_site_fract_z
Mg1 Mg 0.000 0.000 0.500
O1 O 0.500 0.500 0.500
Ta1 Ta 0.000 0.000 0.000
Ba1 Ba 0.000 0.500 0.000
Mg2 Mg 0.500 0.000 0.000
```



Entry 2:
A plane-wave DFT calculation with PBE was carried out for an optimized crystal structure of Ba3MgTc2O9.

As for the symmetry: P-3m1. The calculation puts the raw formation energy at -2.241 eV per atom.

CIF file:
```
data_Ba3MgTc2O9
_space_group_name_H-M_alt 'P 1'
_space_group_IT_number 1
_cell_length_a 5.750
_cell_length_b 5.750
_cell_length_c 7.061
_cell_angle_alpha 90.00
_cell_angle_beta 90.00
_cell_angle_gamma 120.00
loop_
_space_group_symop_operation_xyz
'x,y,z'
loop_
_atom_site_label
_atom_site_type_symbol
_atom_site_fract_x
_atom_site_fract_y
_atom_site_fract_z
Mg1 Mg 0.000 0.000 0.500
O1 O 0.173 0.827 0.323
Ba1 Ba 0.667 0.333 0.343
O2 O 0.500 0.000 0.000
O3 O 0.346 0.173 0.677
Ba2 Ba 0.000 0.000 0.000
O4 O 0.173 0.346 0.323
O5 O 0.827 0.654 0.677
Tc1 Tc 0.667 0.333 0.837
O6 O 0.654 0.827 0.323
O7 O 0.827 0.173 0.677
Ba3 Ba 0.333 0.667 0.657
O8 O 0.000 0.500 0.000
O9 O 0.500 0.500 0.000
Tc2 Tc 0.333 0.667 0.163
```



Please write out number 2 again, unchanged.
A plane-wave DFT calculation with PBE was carried out for an optimized crystal structure of Ba3MgTc2O9.

As for the symmetry: P-3m1. The calculation puts the raw formation energy at -2.241 eV per atom.

CIF file:
```
data_Ba3MgTc2O9
_space_group_name_H-M_alt 'P 1'
_space_group_IT_number 1
_cell_length_a 5.750
_cell_length_b 5.750
_cell_length_c 7.061
_cell_angle_alpha 90.00
_cell_angle_beta 90.00
_cell_angle_gamma 120.00
loop_
_space_group_symop_operation_xyz
'x,y,z'
loop_
_atom_site_label
_atom_site_type_symbol
_atom_site_fract_x
_atom_site_fract_y
_atom_site_fract_z
Mg1 Mg 0.000 0.000 0.500
O1 O 0.173 0.827 0.323
Ba1 Ba 0.667 0.333 0.343
O2 O 0.500 0.000 0.000
O3 O 0.346 0.173 0.677
Ba2 Ba 0.000 0.000 0.000
O4 O 0.173 0.346 0.323
O5 O 0.827 0.654 0.677
Tc1 Tc 0.667 0.333 0.837
O6 O 0.654 0.827 0.323
O7 O 0.827 0.173 0.677
Ba3 Ba 0.333 0.667 0.657
O8 O 0.000 0.500 0.000
O9 O 0.500 0.500 0.000
Tc2 Tc 0.333 0.667 0.163
```



What did the first record say?
A plane-wave DFT calculation with PBE was carried out for an optimized crystal structure of BaMg2TaO.

As for the symmetry: P4/mmm. The calculation puts the raw formation energy at 1.185 eV per atom.

CIF file:
```
data_BaMg2TaO
_space_group_name_H-M_alt 'P 1'
_space_group_IT_number 1
_cell_length_a 5.364
_cell_length_b 6.417
_cell_length_c 5.364
_cell_angle_alpha 90.00
_cell_angle_beta 90.00
_cell_angle_gamma 90.00
loop_
_space_group_symop_operation_xyz
'x,y,z'
loop_
_atom_site_label
_atom_site_type_symbol
_atom_site_fract_x
_atom_site_fract_y
_atom_site_fract_z
Mg1 Mg 0.000 0.000 0.500
O1 O 0.500 0.500 0.500
Ta1 Ta 0.000 0.000 0.000
Ba1 Ba 0.000 0.500 0.000
Mg2 Mg 0.500 0.000 0.000
```